The following is a DFT calculation (GGA-PBE) of an optimized crystal structure of ZrCd.

Computed properties:
ΔH_f (0 K) (eV per atom): -0.029
Total magnetic moment (μB/cell): 0.00
Mass density (g/cm3): 7.8

Unit cell a=3.061 b=3.061 c=5.345 alpha=90.00 beta=90.00 gamma=120.00
Positions (direct):
Zr 0.000 0.000 0.000
Cd 0.333 0.667 0.500

The following is a DFT calculation (GGA-PBE) of an optimized crystal structure of ZrCd.

Computed properties:
ΔH_f (0 K) (eV per atom): -0.011
Total magnetic moment (μB/cell): 0.12
Mass density (g/cm3): 7.7

Unit cell a=6.556 b=5.309 c=5.061 alpha=90.00 beta=90.00 gamma=90.00
Positions (direct):
Zr 0.125 0.063 0.250
Zr 0.125 0.437 0.750
Zr 0.875 0.563 0.250
Zr 0.875 0.937 0.750
Cd 0.378 0.571 0.250
Cd 0.378 0.929 0.750
Cd 0.622 0.071 0.250
Cd 0.622 0.429 0.750

The following is a DFT calculation (GGA-PBE) of an optimized crystal structure of Zr2Cd.

Computed properties:
ΔH_f (0 K) (eV per atom): -0.126
Total magnetic moment (μB/cell): 0.01
Mass density (g/cm3): 7.3

Unit cell a=7.366 b=7.366 c=7.366 alpha=155.82 beta=155.82 gamma=34.46
Positions (direct):
Zr 0.169 0.169 0.000
Zr 0.831 0.831 0.000
Cd 0.500 0.500 0.000

The following is a DFT calculation (GGA-PBE) of an optimized crystal structure of Zr2Cd.

Computed properties:
ΔH_f (0 K) (eV per atom): 0.005
Total magnetic moment (μB/cell): 0.01
Mass density (g/cm3): 7.3

Unit cell a=5.123 b=9.165 c=5.700 alpha=90.00 beta=90.00 gamma=90.00
Positions (direct):
Zr 0.250 0.073 0.094
Zr 0.250 0.250 0.623
Zr 0.250 0.427 0.094
Zr 0.250 0.750 0.039
Zr 0.750 0.250 0.961
Zr 0.750 0.573 0.906
Zr 0.750 0.750 0.377
Zr 0.750 0.927 0.906
Cd 0.250 0.587 0.569
Cd 0.250 0.913 0.569
Cd 0.750 0.087 0.431
Cd 0.750 0.413 0.431

The following is a DFT calculation (GGA-PBE) of an optimized crystal structure of ZrCd.

Computed properties:
ΔH_f (0 K) (eV per atom): -0.061
Total magnetic moment (μB/cell): 0.01
Mass density (g/cm3): 7.7

Unit cell a=5.135 b=6.252 c=10.881 alpha=90.00 beta=90.00 gamma=90.00
Positions (direct):
Zr 0.250 0.003 0.080
Zr 0.250 0.250 0.333
Zr 0.250 0.250 0.825
Zr 0.250 0.497 0.080
Zr 0.750 0.503 0.920
Zr 0.750 0.750 0.175
Zr 0.750 0.750 0.667
Zr 0.750 0.997 0.920
Cd 0.250 0.502 0.583
Cd 0.250 0.750 0.339
Cd 0.250 0.750 0.828
Cd 0.250 0.998 0.583
Cd 0.750 0.002 0.417
Cd 0.750 0.250 0.172
Cd 0.750 0.250 0.661
Cd 0.750 0.498 0.417

The following is a DFT calculation (GGA-PBE) of an optimized crystal structure of Zr4Cd.

Computed properties:
ΔH_f (0 K) (eV per atom): 0.042
Total magnetic moment (μB/cell): 0.03
Mass density (g/cm3): 7.0

Unit cell a=5.662 b=5.368 c=8.008 alpha=90.00 beta=112.35 gamma=90.00
Positions (direct):
Zr 0.068 0.067 0.194
Zr 0.068 0.433 0.694
Zr 0.305 0.520 0.095
Zr 0.305 0.980 0.595
Zr 0.695 0.020 0.405
Zr 0.695 0.480 0.905
Zr 0.932 0.567 0.306
Zr 0.932 0.933 0.806
Cd 0.500 0.000 0.000
Cd 0.500 0.500 0.500

The following is a DFT calculation (GGA-PBE) of an optimized crystal structure of Zr2Cd.

Computed properties:
ΔH_f (0 K) (eV per atom): 2.895
Total magnetic moment (μB/cell): 5.71
Mass density (g/cm3): 2.1

Unit cell a=8.735 b=8.735 c=8.735 alpha=60.00 beta=60.00 gamma=60.00
Positions (direct):
Zr 0.000 0.000 0.000
Zr 0.000 0.000 0.500
Zr 0.000 0.500 0.000
Zr 0.500 0.000 0.000
Cd 0.125 0.125 0.125
Cd 0.875 0.875 0.875

The following is a DFT calculation (GGA-PBE) of an optimized crystal structure of ZrCd.

Computed properties:
ΔH_f (0 K) (eV per atom): -0.014
Total magnetic moment (μB/cell): 0.02
Mass density (g/cm3): 7.9

Unit cell a=4.992 b=6.821 c=5.009 alpha=90.00 beta=90.00 gamma=90.00
Positions (direct):
Zr 0.000 0.000 0.000
Zr 0.000 0.243 0.499
Zr 0.000 0.757 0.499
Zr 0.500 0.000 0.515
Cd 0.000 0.500 0.996
Cd 0.500 0.258 0.017
Cd 0.500 0.500 0.517
Cd 0.500 0.742 0.017